--- 1 ---
The following is a DFT calculation (GGA-PBE) of crystalline TiTcRu3 at its relaxed geometry.

a b c (Å): 4.4146 4.4146 4.4146
angles (deg): 90.00 90.00 90.00
With the nearest neighbours (Å) after each atom.
Fractional coordinates of all 5 atoms:
Ru 0.0000 0.5000 0.0000  2 Ti 2.21
Ru 0.0000 0.0000 0.5000  2 Ti 2.21
Ru 0.5000 0.0000 0.0000  2 Ti 2.21
Tc 0.5000 0.5000 0.5000  12 Ru 3.12
Ti 0.0000 0.0000 0.0000  6 Ru 2.21


--- 2 ---
The following is a DFT calculation (GGA-PBE) of crystalline TiTcRu3 at its relaxed geometry.

a b c (Å): 4.5876 4.5876 4.5876
angles (deg): 90.00 90.00 90.00
With the nearest neighbours (Å) after each atom.
Fractional coordinates of all 5 atoms:
Ru 0.0000 0.5000 0.0000  2 Tc 2.29
Ru 0.0000 0.0000 0.5000  2 Tc 2.29
Ru 0.5000 0.0000 0.0000  2 Tc 2.29
Tc 0.0000 0.0000 0.0000  6 Ru 2.29
Ti 0.5000 0.5000 0.5000  12 Ru 3.24


Most favorable structure: 2. The second most favorable one is 0.047 eV/atom above it.


--- 1 ---
The following is a DFT calculation (GGA-PBE) of crystalline TiTc2Ru2 at its relaxed geometry.

a b c (Å): 7.4539 7.4539 2.7635
angles (deg): 90.00 90.00 90.00
With the nearest neighbours (Å) after each atom.
Fractional coordinates of all 10 atoms:
Ru 0.1730 0.6730 0.5000  6 Tc 2.56-2.63, 2 Ru 2.76
Ru 0.6730 0.8270 0.5000  6 Tc 2.56-2.63, 2 Ru 2.76
Ru 0.8270 0.3270 0.5000  6 Tc 2.56-2.63, 2 Ru 2.76
Ru 0.3270 0.1730 0.5000  6 Tc 2.56-2.63, 2 Ru 2.76
Tc 0.3771 0.8771 0.0000  6 Ru 2.56-2.63, 3 Tc 2.59-2.76
Tc 0.8771 0.6229 0.0000  6 Ru 2.56-2.63, 3 Tc 2.59-2.76
Tc 0.6229 0.1229 0.0000  6 Ru 2.56-2.63, 3 Tc 2.59-2.76
Tc 0.1229 0.3771 0.0000  6 Ru 2.56-2.63, 3 Tc 2.59-2.76
Ti 0.0000 0.0000 0.0000  2 Ti 2.76, 4 Tc 2.96, 8 Ru 3.08
Ti 0.5000 0.5000 0.0000  2 Ti 2.76, 4 Tc 2.96, 8 Ru 3.08


--- 2 ---
The following is a DFT calculation (GGA-PBE) of crystalline TiTc2Ru2 at its relaxed geometry.

a b c (Å): 7.4599 7.4599 2.7543
angles (deg): 90.00 90.00 90.00
With the nearest neighbours (Å) after each atom.
Fractional coordinates of all 10 atoms:
Ru 0.3756 0.8756 0.0000  6 Tc 2.55-2.63, 3 Ru 2.63-2.75
Ru 0.8756 0.6244 0.0000  6 Tc 2.55-2.63, 3 Ru 2.63-2.75
Ru 0.6244 0.1244 0.0000  6 Tc 2.55-2.63, 3 Ru 2.63-2.75
Ru 0.1244 0.3756 0.0000  6 Tc 2.55-2.63, 3 Ru 2.63-2.75
Tc 0.1723 0.6723 0.5000  6 Ru 2.55-2.63, 2 Tc 2.75
Tc 0.6723 0.8277 0.5000  6 Ru 2.55-2.63, 2 Tc 2.75
Tc 0.8277 0.3277 0.5000  6 Ru 2.55-2.63, 2 Tc 2.75
Tc 0.3277 0.1723 0.5000  6 Ru 2.55-2.63, 2 Tc 2.75
Ti 0.0000 0.0000 0.0000  2 Ti 2.75, 4 Ru 2.95
Ti 0.5000 0.5000 0.0000  2 Ti 2.75, 4 Ru 2.95


Most favorable structure: 2. The second most favorable one is 0.008 eV/atom above it.